[1]
{
  "formula": "RbTeBr5",
  "functional": "GGA-PBE",
  "state": "optimized geometry",
  "n_ef_per_ev_atom": 0.009,
  "final_energy_ev_per_cell": -35.16,
  "magmom_total_mub_per_fu": 0.0,
  "polymorph_energy_mev_per_atom": 0,
  "lattice_angstrom": [[7.408, -3.955, 0.000], [7.408, 3.955, 0.000], [-4.197, 0.000, 10.257]],
  "species": ["Rb", "Rb", "Te", "Te", "Br", "Br", "Br", "Br", "Br", "Br", "Br", "Br", "Br", "Br"],
  "frac_coords": [[0.025, 0.975, 0.750], [0.975, 0.025, 0.250], [0.500, 0.500, 0.000], [0.500, 0.500, 0.500], [0.120, 0.610, 0.455], [0.123, 0.598, 0.904], [0.390, 0.880, 0.045], [0.402, 0.877, 0.596], [0.429, 0.571, 0.250], [0.571, 0.429, 0.750], [0.598, 0.123, 0.404], [0.610, 0.120, 0.955], [0.877, 0.402, 0.096], [0.880, 0.390, 0.545]]
}

---

[2]
{
  "formula": "RbTe3Br",
  "functional": "GGA-PBE",
  "state": "optimized geometry",
  "n_ef_per_ev_atom": 0.854,
  "final_energy_ev_per_cell": -11.54,
  "magmom_total_mub_per_fu": 0.0,
  "polymorph_energy_mev_per_atom": 0,
  "lattice_angstrom": [[5.778, 0.000, 0.000], [0.000, 5.778, 0.000], [0.000, 0.000, 5.778]],
  "species": ["Rb", "Te", "Te", "Te", "Br"],
  "frac_coords": [[0.000, 0.000, 0.000], [0.000, 0.500, 0.500], [0.500, 0.000, 0.500], [0.500, 0.500, 0.000], [0.500, 0.500, 0.500]]
}

---

[3]
{
  "formula": "Rb12Te5Br3",
  "functional": "GGA-PBE",
  "state": "optimized geometry",
  "n_ef_per_ev_atom": 1.475,
  "final_energy_ev_per_cell": -208.91,
  "magmom_total_mub_per_fu": 1.4,
  "lattice_angstrom": [[-10.574, 10.574, 10.574], [10.574, -10.574, 10.574], [10.574, 10.574, -10.574]],
  "species": ["Rb", "Rb", "Rb", "Rb", "Rb", "Rb", "Rb", "Rb", "Rb", "Rb", "Rb", "Rb", "Rb", "Rb", "Rb", "Rb", "Rb", "Rb", "Rb", "Rb", "Rb", "Rb", "Rb", "Rb", "Rb", "Rb", "Rb", "Rb", "Rb", "Rb", "Rb", "Rb", "Rb", "Rb", "Rb", "Rb", "Rb", "Rb", "Rb", "Rb", "Rb", "Rb", "Rb", "Rb", "Rb", "Rb", "Rb", "Rb", "Te", "Te", "Te", "Te", "Te", "Te", "Te", "Te", "Te", "Te", "Te", "Te", "Te", "Te", "Te", "Te", "Te", "Te", "Te", "Te", "Br", "Br", "Br", "Br", "Br", "Br", "Br", "Br", "Br", "Br", "Br", "Br"],
  "frac_coords": [[0.048, 0.222, 0.117], [0.048, 0.325, 0.930], [0.070, 0.617, 0.395], [0.070, 0.952, 0.675], [0.105, 0.722, 0.675], [0.105, 0.883, 0.430], [0.117, 0.048, 0.222], [0.117, 0.570, 0.895], [0.175, 0.222, 0.605], [0.175, 0.452, 0.570], [0.222, 0.117, 0.048], [0.222, 0.605, 0.175], [0.278, 0.325, 0.895], [0.278, 0.452, 0.383], [0.325, 0.895, 0.278], [0.325, 0.930, 0.048], [0.383, 0.278, 0.452], [0.383, 0.605, 0.930], [0.395, 0.070, 0.617], [0.395, 0.825, 0.778], [0.430, 0.105, 0.883], [0.430, 0.825, 0.548], [0.452, 0.383, 0.278], [0.452, 0.570, 0.175], [0.548, 0.430, 0.825], [0.548, 0.617, 0.722], [0.570, 0.175, 0.452], [0.570, 0.895, 0.117], [0.605, 0.175, 0.222], [0.605, 0.930, 0.383], [0.617, 0.395, 0.070], [0.617, 0.722, 0.548], [0.675, 0.070, 0.952], [0.675, 0.105, 0.722], [0.722, 0.548, 0.617], [0.722, 0.675, 0.105], [0.778, 0.395, 0.825], [0.778, 0.883, 0.952], [0.825, 0.548, 0.430], [0.825, 0.778, 0.395], [0.883, 0.430, 0.105], [0.883, 0.952, 0.778], [0.895, 0.117, 0.570], [0.895, 0.278, 0.325], [0.930, 0.048, 0.325], [0.930, 0.383, 0.605], [0.952, 0.675, 0.070], [0.952, 0.778, 0.883], [0.000, 0.000, 0.000], [0.000, 0.000, 0.500], [0.000, 0.500, 0.000], [0.000, 0.500, 0.500], [0.125, 0.750, 0.875], [0.125, 0.875, 0.250], [0.250, 0.125, 0.875], [0.250, 0.625, 0.375], [0.375, 0.250, 0.625], [0.375, 0.625, 0.750], [0.500, 0.000, 0.000], [0.500, 0.000, 0.500], [0.500, 0.500, 0.000], [0.500, 0.500, 0.500], [0.625, 0.375, 0.250], [0.625, 0.750, 0.375], [0.750, 0.375, 0.625], [0.750, 0.875, 0.125], [0.875, 0.125, 0.750], [0.875, 0.250, 0.125], [0.125, 0.250, 0.375], [0.125, 0.375, 0.750], [0.250, 0.375, 0.125], [0.250, 0.875, 0.625], [0.375, 0.125, 0.250], [0.375, 0.750, 0.125], [0.625, 0.250, 0.875], [0.625, 0.875, 0.750], [0.750, 0.125, 0.375], [0.750, 0.625, 0.875], [0.875, 0.625, 0.250], [0.875, 0.750, 0.625]]
}

---

[4]
{
  "formula": "RbTeBr2",
  "functional": "GGA-PBE",
  "state": "optimized geometry",
  "n_ef_per_ev_atom": 0.134,
  "final_energy_ev_per_cell": -9.39,
  "magmom_total_mub_per_fu": 3.0,
  "polymorph_energy_mev_per_atom": 250,
  "lattice_angstrom": [[0.000, 4.144, 4.144], [4.144, 0.000, 4.144], [4.144, 4.144, 0.000]],
  "species": ["Rb", "Te", "Br", "Br"],
  "frac_coords": [[0.000, 0.000, 0.000], [0.500, 0.500, 0.500], [0.250, 0.250, 0.250], [0.750, 0.750, 0.750]]
}

---

[5]
{
  "formula": "Rb2TeBr",
  "functional": "GGA-PBE",
  "state": "optimized geometry",
  "n_ef_per_ev_atom": 0.208,
  "final_energy_ev_per_cell": -21.37,
  "magmom_total_mub_per_fu": 1.0,
  "polymorph_energy_mev_per_atom": 173,
  "lattice_angstrom": [[-4.666, 4.666, 4.762], [4.666, -4.666, 4.762], [4.666, 4.666, -4.762]],
  "species": ["Rb", "Rb", "Rb", "Rb", "Te", "Te", "Br", "Br"],
  "frac_coords": [[0.097, 0.125, 0.472], [0.375, 0.903, 0.028], [0.653, 0.625, 0.528], [0.875, 0.347, 0.972], [0.250, 0.750, 0.500], [0.500, 0.500, 0.000], [0.000, 0.000, 0.000], [0.750, 0.250, 0.500]]
}

---

[6]
{
  "formula": "Rb3TeBr6",
  "functional": "GGA-PBE",
  "state": "optimized geometry",
  "n_ef_per_ev_atom": 0.000,
  "final_energy_ev_per_cell": -26.75,
  "magmom_total_mub_per_fu": 1.0,
  "polymorph_energy_mev_per_atom": 70,
  "lattice_angstrom": [[-4.200, 4.200, 6.524], [4.200, -4.200, 6.524], [4.200, 4.200, -6.524]],
  "species": ["Rb", "Rb", "Rb", "Te", "Br", "Br", "Br", "Br", "Br", "Br"],
  "frac_coords": [[0.000, 0.000, 0.000], [0.250, 0.750, 0.500], [0.750, 0.250, 0.500], [0.500, 0.500, 0.000], [0.251, 0.251, 0.000], [0.272, 0.272, 0.544], [0.272, 0.728, 0.000], [0.728, 0.272, 0.000], [0.728, 0.728, 0.456], [0.749, 0.749, 0.000]]
}

---

[7]
{
  "formula": "RbTeBr5",
  "functional": "GGA-PBE",
  "state": "optimized geometry",
  "final_energy_ev_per_cell": -17.47,
  "magmom_total_mub_per_fu": 0.0,
  "polymorph_energy_mev_per_atom": 16,
  "lattice_angstrom": [[-4.494, 6.141, 3.105], [4.494, -6.141, 3.105], [4.494, 6.141, -3.105]],
  "species": ["Rb", "Te", "Br", "Br", "Br", "Br", "Br"],
  "frac_coords": [[0.000, 0.000, 0.000], [0.497, 0.997, 0.500], [0.085, 0.585, 0.500], [0.346, 0.062, 0.284], [0.503, 0.306, 0.803], [0.503, 0.700, 0.197], [0.777, 0.062, 0.716]]
}

---

[8]
{
  "formula": "Rb2TeBr",
  "functional": "GGA-PBE",
  "state": "optimized geometry",
  "n_ef_per_ev_atom": 2.734,
  "final_energy_ev_per_cell": -10.73,
  "magmom_total_mub_per_fu": 1.0,
  "polymorph_energy_mev_per_atom": 162,
  "lattice_angstrom": [[0.000, 4.356, 4.356], [4.356, 0.000, 4.356], [4.356, 4.356, 0.000]],
  "species": ["Rb", "Rb", "Te", "Br"],
  "frac_coords": [[0.250, 0.250, 0.250], [0.750, 0.750, 0.750], [0.000, 0.000, 0.000], [0.500, 0.500, 0.500]]
}

---

[9]
{
  "formula": "RbTeBr2",
  "functional": "GGA-PBE",
  "state": "optimized geometry",
  "n_ef_per_ev_atom": 0.587,
  "final_energy_ev_per_cell": -10.39,
  "magmom_total_mub_per_fu": 1.0,
  "polymorph_energy_mev_per_atom": 0,
  "lattice_angstrom": [[2.587, 1.494, 8.949], [-2.587, 1.494, 8.949], [0.000, -2.987, 8.949]],
  "species": ["Rb", "Te", "Br", "Br"],
  "frac_coords": [[0.000, 0.000, 0.000], [0.500, 0.500, 0.500], [0.398, 0.398, 0.398], [0.602, 0.602, 0.602]]
}

---

[10]
{
  "formula": "Rb2TeBr",
  "functional": "GGA-PBE",
  "state": "optimized geometry",
  "n_ef_per_ev_atom": 0.462,
  "final_energy_ev_per_cell": -11.38,
  "magmom_total_mub_per_fu": 0.0,
  "polymorph_energy_mev_per_atom": 0,
  "lattice_angstrom": [[4.024, 0.000, 0.000], [0.000, 4.024, 0.000], [0.000, 0.000, 9.369]],
  "species": ["Rb", "Rb", "Te", "Br"],
  "frac_coords": [[0.000, 0.000, 0.226], [0.000, 0.000, 0.774], [0.500, 0.500, 0.500], [0.500, 0.500, 0.000]]
}

---

[11]
{
  "formula": "RbTe2Br8",
  "functional": "GGA-PBE",
  "state": "optimized geometry",
  "n_ef_per_ev_atom": 0.100,
  "final_energy_ev_per_cell": -26.20,
  "magmom_total_mub_per_fu": 0.0,
  "polymorph_energy_mev_per_atom": 0,
  "lattice_angstrom": [[6.581, -4.061, 0.000], [6.581, 4.061, 0.000], [-4.939, 0.000, 8.363]],
  "species": ["Rb", "Te", "Te", "Br", "Br", "Br", "Br", "Br", "Br", "Br", "Br"],
  "frac_coords": [[0.000, 0.000, 0.000], [0.145, 0.145, 0.633], [0.855, 0.855, 0.367], [0.154, 0.644, 0.240], [0.213, 0.213, 0.413], [0.356, 0.846, 0.760], [0.380, 0.380, 0.871], [0.620, 0.620, 0.129], [0.644, 0.154, 0.240], [0.787, 0.787, 0.587], [0.846, 0.356, 0.760]]
}

---

[12]
{
  "formula": "RbTeBr2",
  "functional": "GGA-PBE",
  "state": "optimized geometry",
  "n_ef_per_ev_atom": 0.426,
  "final_energy_ev_per_cell": -19.99,
  "magmom_total_mub_per_fu": 0.0,
  "polymorph_energy_mev_per_atom": 98,
  "lattice_angstrom": [[-3.057, 3.057, 9.568], [3.057, -3.057, 9.568], [3.057, 3.057, -9.568]],
  "species": ["Rb", "Rb", "Te", "Te", "Br", "Br", "Br", "Br"],
  "frac_coords": [[0.000, 0.000, 0.000], [0.750, 0.250, 0.500], [0.250, 0.750, 0.500], [0.500, 0.500, 0.000], [0.213, 0.625, 0.088], [0.375, 0.463, 0.588], [0.537, 0.125, 0.912], [0.875, 0.787, 0.412]]
}

---

[13]
{
  "formula": "Rb2Te3Br8",
  "functional": "GGA-PBE",
  "state": "optimized geometry",
  "n_ef_per_ev_atom": 0.469,
  "final_energy_ev_per_cell": -32.53,
  "magmom_total_mub_per_fu": 2.1,
  "lattice_angstrom": [[7.959, -3.790, 0.000], [7.959, 3.790, 0.000], [-2.258, 0.000, 9.086]],
  "species": ["Rb", "Rb", "Te", "Te", "Te", "Br", "Br", "Br", "Br", "Br", "Br", "Br", "Br"],
  "frac_coords": [[0.237, 0.237, 0.213], [0.763, 0.763, 0.787], [0.318, 0.682, 0.500], [0.500, 0.500, 0.000], [0.682, 0.318, 0.500], [0.114, 0.114, 0.467], [0.148, 0.645, 0.079], [0.355, 0.852, 0.921], [0.364, 0.364, 0.606], [0.636, 0.636, 0.394], [0.645, 0.148, 0.079], [0.852, 0.355, 0.921], [0.886, 0.886, 0.533]]
}

---

[14]
{
  "formula": "Rb3TeBr",
  "functional": "GGA-PBE",
  "state": "optimized geometry",
  "n_ef_per_ev_atom": 0.000,
  "final_energy_ev_per_cell": -55.95,
  "magmom_total_mub_per_fu": 0.0,
  "polymorph_energy_mev_per_atom": 0,
  "lattice_angstrom": [[9.396, 0.000, 0.000], [0.000, 5.485, 0.000], [0.000, 0.000, 17.366]],
  "species": ["Rb", "Rb", "Rb", "Rb", "Rb", "Rb", "Rb", "Rb", "Rb", "Rb", "Rb", "Rb", "Te", "Te", "Te", "Te", "Br", "Br", "Br", "Br"],
  "frac_coords": [[0.034, 0.250, 0.133], [0.164, 0.250, 0.518], [0.176, 0.750, 0.281], [0.324, 0.250, 0.781], [0.336, 0.750, 0.018], [0.466, 0.750, 0.633], [0.534, 0.250, 0.367], [0.664, 0.250, 0.982], [0.676, 0.750, 0.219], [0.824, 0.250, 0.719], [0.836, 0.750, 0.482], [0.966, 0.750, 0.867], [0.083, 0.750, 0.663], [0.417, 0.250, 0.163], [0.583, 0.750, 0.837], [0.917, 0.250, 0.337], [0.124, 0.250, 0.938], [0.376, 0.750, 0.438], [0.624, 0.250, 0.562], [0.876, 0.750, 0.062]]
}

---

[15]
{
  "formula": "Rb2Te2Br",
  "functional": "GGA-PBE",
  "state": "optimized geometry",
  "n_ef_per_ev_atom": 1.053,
  "final_energy_ev_per_cell": -13.98,
  "magmom_total_mub_per_fu": 1.0,
  "polymorph_energy_mev_per_atom": 212,
  "lattice_angstrom": [[-3.504, 3.504, 4.874], [3.504, -3.504, 4.874], [3.504, 3.504, -4.874]],
  "species": ["Rb", "Rb", "Te", "Te", "Br"],
  "frac_coords": [[0.250, 0.750, 0.500], [0.750, 0.250, 0.500], [0.140, 0.140, 0.000], [0.860, 0.860, 0.000], [0.500, 0.500, 0.000]]
}

---

[16]
{
  "formula": "RbTe2Br",
  "functional": "GGA-PBE",
  "state": "optimized geometry",
  "n_ef_per_ev_atom": 1.242,
  "final_energy_ev_per_cell": -8.44,
  "magmom_total_mub_per_fu": 1.6,
  "polymorph_energy_mev_per_atom": 763,
  "lattice_angstrom": [[0.000, 4.140, 4.140], [4.140, 0.000, 4.140], [4.140, 4.140, 0.000]],
  "species": ["Rb", "Te", "Te", "Br"],
  "frac_coords": [[0.000, 0.000, 0.000], [0.250, 0.250, 0.250], [0.750, 0.750, 0.750], [0.500, 0.500, 0.500]]
}

---

[17]
{
  "formula": "Rb2TeBr4",
  "functional": "GGA-PBE",
  "state": "optimized geometry",
  "n_ef_per_ev_atom": 0.319,
  "final_energy_ev_per_cell": -19.05,
  "magmom_total_mub_per_fu": 0.0,
  "polymorph_energy_mev_per_atom": 101,
  "lattice_angstrom": [[-3.035, 3.035, 8.300], [3.035, -3.035, 8.300], [3.035, 3.035, -8.300]],
  "species": ["Rb", "Rb", "Te", "Br", "Br", "Br", "Br"],
  "frac_coords": [[0.127, 0.127, 0.000], [0.873, 0.873, 0.000], [0.500, 0.500, 0.000], [0.000, 0.500, 0.500], [0.333, 0.333, 0.000], [0.500, 0.000, 0.500], [0.667, 0.667, 0.000]]
}

---

[18]
{
  "formula": "RbTeBr3",
  "functional": "GGA-PBE",
  "state": "optimized geometry",
  "final_energy_ev_per_cell": -26.66,
  "magmom_total_mub_per_fu": 0.0,
  "lattice_angstrom": [[5.510, 0.000, 0.000], [0.134, 8.376, 0.000], [2.583, 3.644, 9.357]],
  "species": ["Rb", "Rb", "Te", "Te", "Br", "Br", "Br", "Br", "Br", "Br"],
  "frac_coords": [[0.195, 0.193, 0.170], [0.805, 0.807, 0.830], [0.463, 0.623, 0.363], [0.537, 0.377, 0.637], [0.208, 0.831, 0.486], [0.290, 0.085, 0.852], [0.318, 0.542, 0.825], [0.682, 0.458, 0.175], [0.710, 0.915, 0.148], [0.792, 0.169, 0.514]]
}

---

[19]
{
  "formula": "Rb2TiTeBr6",
  "functional": "GGA-PBE",
  "state": "optimized geometry",
  "n_ef_per_ev_atom": 0.368,
  "final_energy_ev_per_cell": -33.60,
  "magmom_total_mub_per_fu": 0.0,
  "lattice_angstrom": [[-4.349, 4.349, 5.303], [4.349, -4.349, 5.303], [4.349, 4.349, -5.303]],
  "species": ["Rb", "Rb", "Ti", "Te", "Br", "Br", "Br", "Br", "Br", "Br"],
  "frac_coords": [[0.250, 0.750, 0.500], [0.750, 0.250, 0.500], [0.000, 0.000, 0.000], [0.500, 0.500, 0.000], [0.207, 0.207, 0.414], [0.207, 0.793, 0.000], [0.241, 0.241, 0.000], [0.759, 0.759, 0.000], [0.793, 0.207, 0.000], [0.793, 0.793, 0.586]]
}

---

[20]
{
  "formula": "RbTl2TeBr",
  "functional": "GGA-PBE",
  "state": "optimized geometry",
  "final_energy_ev_per_cell": -28.87,
  "magmom_total_mub_per_fu": 0.0,
  "lattice_angstrom": [[8.600, 0.000, 0.000], [0.000, 4.734, 0.000], [-0.456, 0.000, 10.458]],
  "species": ["Rb", "Rb", "Tl", "Tl", "Tl", "Tl", "Te", "Te", "Br", "Br"],
  "frac_coords": [[0.242, 0.250, 0.004], [0.758, 0.750, 0.996], [0.154, 0.750, 0.379], [0.300, 0.250, 0.612], [0.700, 0.750, 0.388], [0.846, 0.250, 0.621], [0.077, 0.750, 0.733], [0.923, 0.250, 0.267], [0.435, 0.750, 0.175], [0.565, 0.250, 0.825]]
}

---

[21]
{
  "formula": "RbTl2TeBr6",
  "functional": "GGA-PBE",
  "state": "optimized geometry",
  "n_ef_per_ev_atom": 0.015,
  "final_energy_ev_per_cell": -26.61,
  "magmom_total_mub_per_fu": 1.0,
  "lattice_angstrom": [[7.843, 0.000, 0.000], [3.865, 7.689, 0.000], [3.590, 2.986, 7.242]],
  "species": ["Rb", "Tl", "Tl", "Te", "Br", "Br", "Br", "Br", "Br", "Br"],
  "frac_coords": [[0.000, 0.000, 0.000], [0.209, 0.161, 0.391], [0.734, 0.696, 0.856], [0.516, 0.501, 0.465], [0.132, 0.780, 0.708], [0.292, 0.581, 0.249], [0.432, 0.173, 0.690], [0.591, 0.839, 0.218], [0.780, 0.411, 0.651], [0.889, 0.316, 0.174]]
}

---

So what do the calculations give for formation energy from raw total energies? Going down the list: -729 105 -995 -484 -984 -1067 -714 -995 -733 -1157 -506 -635 -599 -1254 -819 122 -1041 -840 -1059 -784 -773 meV per atom.